# 1
A relaxed Pr2Si2IBr crystal. Source: OQMD, functional GGA-PBE.

Properties
The total moment is 0.0 μB/cell. The calculation puts the total energy at -5.098 eV/atom.

abc: 4.1779 4.1779 11.8727
angles: 90.00 90.00 120.00
Space group P3m1 (No. 156)
Inequivalent atoms, fractional coordinates:
1 Pr 0.0000 0.0000 0.0000 x1
2 Pr 0.0000 0.0000 0.3401 x1
3 Si 0.3333 0.6667 0.1756 x1
4 Si 0.6667 0.3333 0.1645 x1
5 I 0.6667 0.3333 0.5219 x1
6 Br 0.3333 0.6667 0.8402 x1

=====

# 2
A relaxed HfSbNO crystal. Source: OQMD, functional GGA-PBE.

Properties
The total moment is 0.0 μB/cell. The calculation puts the total energy at -8.266 eV/atom.

abc: 6.282 8.957 5.839
angles: 90.00 90.00 90.00
Space group Pca2_1 (No. 29)
Inequivalent atoms, fractional coordinates:
1 Hf 0.091 0.089 0.000 x4
2 Sb 0.169 0.517 0.048 x4
3 N 0.150 0.019 0.672 x4
4 O 0.077 0.303 0.046 x4

=====

# 3
A relaxed Gd6GaCo2 crystal. Source: OQMD, functional GGA-PBE.

Properties
The total moment is 0.1 μB/cell. The calculation puts the total energy at -5.281 eV/atom.

abc: 9.318 9.656 9.924
angles: 90.00 90.00 90.00
Space group Immm (No. 71)
Inequivalent atoms, fractional coordinates:
1 Gd 0.000 0.197 0.238 x8
2 Gd 0.187 0.500 0.174 x8
3 Gd 0.219 0.319 0.500 x8
4 Ga 0.000 0.000 0.000 x2
5 Ga 0.000 0.000 0.500 x2
6 Co 0.000 0.337 0.000 x4
7 Co 0.000 0.500 0.386 x4

=====

# 4
A relaxed NaHoAlSe3 crystal. Source: OQMD, functional GGA-PBE.

Properties
The total moment is 0.0 μB/cell. The calculation puts the total energy at -4.511 eV/atom.

abc: 3.997 14.003 10.846
angles: 90.00 90.00 90.00
Space group Cmcm (No. 63)
Inequivalent atoms, fractional coordinates:
1 Na 0.000 0.246 0.250 x4
2 Ho 0.000 0.000 0.000 x4
3 Al 0.000 0.466 0.750 x4
4 Se 0.000 0.071 0.750 x4
5 Se 0.000 0.360 0.575 x8

=====

# 5
A relaxed Er3Sb2As crystal. Source: OQMD, functional GGA-PBE.

Properties
The total moment is 0.0 μB/cell. The calculation puts the total energy at -5.650 eV/atom.

abc: 4.2420 4.2420 10.5006
angles: 90.00 90.00 120.00
Space group P-3m1 (No. 164)
Inequivalent atoms, fractional coordinates:
1 Er 0.0000 0.0000 0.0000 x1
2 Er 0.3333 0.6667 0.6513 x2
3 Sb 0.3333 0.6667 0.1732 x2
4 As 0.0000 0.0000 0.5000 x1

=====

# 6
A relaxed NdCdInSe3 crystal. Source: OQMD, functional GGA-PBE.

Properties
The total moment is 0.0 μB/cell. The calculation puts the total energy at -4.155 eV/atom.

abc: 11.399 4.325 14.433
angles: 90.00 90.00 90.00
Space group Pnma (No. 62)
Inequivalent atoms, fractional coordinates:
1 Nd 0.016 0.250 0.240 x4
2 Cd 0.235 0.250 0.715 x4
3 In 0.213 0.750 0.501 x4
4 Se 0.036 0.250 0.621 x4
5 Se 0.078 0.750 0.108 x4
6 Se 0.237 0.750 0.829 x4

=====

# 7
A relaxed LuCuHgBi crystal. Source: OQMD, functional GGA-PBE.

Properties
The total moment is 0.0 μB/cell. The calculation puts the total energy at -3.227 eV/atom.

abc: 7.193 7.193 7.193
angles: 90.00 90.00 90.00
Space group F-43m (No. 216)
Inequivalent atoms, fractional coordinates:
1 Lu 0.000 0.000 0.000 x4
2 Cu 0.250 0.250 0.750 x4
3 Hg 0.250 0.250 0.250 x4
4 Bi 0.000 0.000 0.500 x4

=====

# 8
A relaxed ErZnPt crystal. Source: OQMD, functional GGA-PBE.

Properties
The total moment is 0.0 μB/cell. The calculation puts the total energy at -4.881 eV/atom.

abc: 4.4350 4.4350 6.8492
angles: 90.00 90.00 120.00
Space group P6_3/mmc (No. 194)
Inequivalent atoms, fractional coordinates:
1 Er 0.0000 0.0000 0.0000 x2
2 Zn 0.3333 0.6667 0.2500 x2
3 Pt 0.3333 0.6667 0.7500 x2

=====

# 9
A relaxed GdSi2AgOs crystal. Source: OQMD, functional GGA-PBE.

Properties
The total moment is 0.0 μB/cell. The calculation puts the total energy at -6.322 eV/atom.

abc: 4.140 4.140 10.206
angles: 90.00 90.00 90.00
Space group I-4m2 (No. 119)
Inequivalent atoms, fractional coordinates:
1 Gd 0.000 0.000 0.000 x2
2 Si 0.000 0.000 0.384 x4
3 Ag 0.000 0.500 0.750 x2
4 Os 0.000 0.500 0.250 x2